The following is a SCAN calculation of CdCuHg2 at its PBEsol-relaxed geometry, from Alexandria.

Cell and atoms, written as POSCAR:
```
CdCuHg2
1.0
-1.471 2.230 6.004
1.471 -2.230 6.004
1.471 2.230 -6.004
Cd Cu Hg
1 1 2
Direct
0.000 0.000 0.000 Cd
0.192 0.692 0.500 Cu
0.385 0.385 0.000 Hg
0.690 0.190 0.500 Hg
```

Computed properties:
Its total moment is 0.00 μB per formula unit. Its calculated density is 12.17 g cm⁻³. For the energy relative to the elements, the calculation gives 0.0637 eV per atom.